Here is a relaxed Li4Nb3V2Co3O16 crystal from the Alexandria database. Energies are from PBE with a Hubbard U.

Cell and atoms, written as POSCAR:
```
Li4Nb3V2Co3O16
1.0
3.032 5.285 -0.024
-3.032 5.285 -0.024
0.000 -0.027 9.726
O Li V Nb Co
16 4 2 3 3
direct
0.490 0.052 0.845
0.666 0.666 0.100
0.964 0.512 0.353
0.488 0.488 0.823
0.992 0.992 0.818
0.515 0.515 0.350
0.637 0.147 0.100
0.822 0.822 0.613
0.988 0.988 0.301
0.512 0.964 0.353
0.314 0.833 0.601
0.156 0.156 0.085
0.147 0.637 0.100
0.052 0.490 0.845
0.340 0.340 0.595
0.833 0.314 0.601
0.340 0.340 0.382
0.673 0.673 0.901
0.978 0.978 0.007
0.093 0.093 0.455
0.651 0.651 0.482
0.303 0.303 0.006
0.167 0.663 0.709
0.663 0.167 0.709
0.813 0.813 0.229
0.802 0.336 0.209
0.336 0.802 0.209
0.170 0.170 0.722
```

- Uncorrected energy: -7.263 eV per atom